[1]
Material: Y3OsBr
Method: DFT, PBE
State: relaxed

Computed properties:
The energy above the lowest structure with this stoichiometry is 0 meV/atom. The value obtained for the density of states at the Fermi level is 1.25 states/eV per atom. The calculation puts the uncorrected energy at -33.1 eV per cell.

a b c (Å): 5.447 5.447 5.447
angles (deg): 90.00 90.00 90.00
Fractional coordinates of all 5 atoms:
Y (0.000, 0.000, 0.500)
Y (0.000, 0.500, 0.000)
Y (0.500, 0.000, 0.000)
Br (0.500, 0.500, 0.500)
Os (0.000, 0.000, 0.000)



[2]
Material: Pm4Tl2Cd3
Method: DFT, PBE
State: relaxed

Computed properties:
The formation enthalpy at 0 K comes out at -0.287 eV per atom. The value obtained for the density of states at the Fermi level is 1.14 states/eV per atom. The calculation puts the uncorrected energy at -29.1 eV per cell.

a b c (Å): 5.300 5.300 10.418
angles (deg): 90.04 90.04 60.03
Fractional coordinates of all 9 atoms:
Tl (0.667, 0.667, 0.790)
Tl (0.333, 0.333, 0.210)
Cd (0.333, 0.333, 0.528)
Cd (0.667, 0.667, 0.472)
Cd (0.000, 0.000, 0.000)
Pm (0.333, 0.333, 0.884)
Pm (0.000, 0.000, 0.331)
Pm (0.000, 0.000, 0.669)
Pm (0.667, 0.667, 0.116)



[3]
Material: ZrPb2Br
Method: DFT, PBE
State: relaxed

Computed properties:
The energy above the lowest structure with this stoichiometry is 76 meV/atom. The value obtained for the density of states at the Fermi level is 0.41 states/eV per atom. The calculation puts the uncorrected energy at -18.7 eV per cell.

a b c (Å): 6.224 6.224 5.899
angles (deg): 70.05 70.05 31.73
Fractional coordinates of all 4 atoms:
Pb (0.811, 0.811, 0.630)
Pb (0.965, 0.965, 0.053)
Zr (0.545, 0.545, 0.584)
Br (0.180, 0.180, 0.233)



[4]
Material: Ta2AlRh
Method: DFT, PBE
State: relaxed

Computed properties:
The formation enthalpy at 0 K comes out at -0.441 eV per atom. The value obtained for the density of states at the Fermi level is 0.88 states/eV per atom. The calculation puts the uncorrected energy at -36.6 eV per cell.

a b c (Å): 2.888 2.888 7.789
angles (deg): 90.00 90.00 90.00
Fractional coordinates of all 4 atoms:
Rh (0.500, 0.500, 0.728)
Al (0.000, 0.000, 0.530)
Ta (0.000, 0.000, 0.974)
Ta (0.500, 0.500, 0.268)



[5]
Material: MgCrHgP2
Method: DFT, PBE
State: relaxed

Computed properties:
The formation enthalpy at 0 K comes out at 1.693 eV per atom. The value obtained for the density of states at the Fermi level is 1.54 states/eV per atom. The calculation puts the uncorrected energy at -13.9 eV per cell.

a b c (Å): 4.996 4.996 4.909
angles (deg): 90.00 90.00 90.00
Fractional coordinates of all 5 atoms:
P (0.000, 0.500, 0.000)
P (0.500, 0.000, 0.000)
Mg (0.000, 0.000, 0.500)
Hg (0.000, 0.000, 0.000)
Cr (0.500, 0.500, 0.500)



[6]
Material: Li3ThAl3
Method: DFT, PBE
State: relaxed

Computed properties:
The formation enthalpy at 0 K comes out at 0.446 eV per atom. The value obtained for the density of states at the Fermi level is 0.57 states/eV per atom. The calculation puts the uncorrected energy at -42.5 eV per cell.

a b c (Å): 6.632 6.632 6.632
angles (deg): 90.00 90.00 90.00
Fractional coordinates of all 14 atoms:
Li (0.000, 0.750, 0.500)
Li (0.000, 0.250, 0.500)
Li (0.750, 0.500, 0.000)
Li (0.500, 0.000, 0.750)
Li (0.500, 0.000, 0.250)
Li (0.250, 0.500, 0.000)
Th (0.000, 0.000, 0.000)
Th (0.500, 0.500, 0.500)
Al (0.500, 0.250, 0.000)
Al (0.750, 0.000, 0.500)
Al (0.250, 0.000, 0.500)
Al (0.000, 0.500, 0.750)
Al (0.500, 0.750, 0.000)
Al (0.000, 0.500, 0.250)



[7]
Material: Rb3LiHf3Te8
Method: DFT, PBE
State: relaxed

Computed properties:
The value obtained for the density of states at the Fermi level is 0.15 states/eV per atom. The calculation puts the uncorrected energy at -73.2 eV per cell.

a b c (Å): 8.468 8.461 9.934
angles (deg): 115.17 90.00 120.04
Fractional coordinates of all 15 atoms:
Hf (0.500, 0.000, 0.500)
Hf (0.500, 0.500, 0.500)
Hf (0.000, 0.500, 0.500)
Te (0.765, 0.048, 0.313)
Te (0.283, 0.048, 0.313)
Te (0.235, 0.952, 0.687)
Te (0.765, 0.530, 0.313)
Te (0.269, 0.539, 0.308)
Te (0.717, 0.952, 0.687)
Te (0.235, 0.470, 0.687)
Te (0.731, 0.461, 0.692)
Rb (0.500, 0.500, 0.000)
Rb (0.000, 0.000, 0.000)
Rb (0.000, 0.500, 0.000)
Li (0.000, 0.000, 0.500)



[8]
Material: YSbBr2
Method: DFT, PBE
State: relaxed

Computed properties:
The energy above the lowest structure with this stoichiometry is 162 meV/atom. The value obtained for the density of states at the Fermi level is 0.80 states/eV per atom. The calculation puts the uncorrected energy at -17.5 eV per cell.

a b c (Å): 3.411 3.411 11.270
angles (deg): 90.00 90.00 90.00
Fractional coordinates of all 4 atoms:
Sb (0.500, 0.500, 0.250)
Br (0.000, 0.000, 0.904)
Br (0.000, 0.000, 0.596)
Y (0.500, 0.500, 0.750)



[9]
Material: CsNaSrPt2
Method: DFT, PBE
State: relaxed

Computed properties:
The formation enthalpy at 0 K comes out at 0.726 eV per atom. The value obtained for the density of states at the Fermi level is 0.68 states/eV per atom. The calculation puts the uncorrected energy at -12.3 eV per cell.

a b c (Å): 5.679 5.230 5.679
angles (deg): 90.00 90.00 90.00
Fractional coordinates of all 5 atoms:
Na (0.000, 0.500, 0.000)
Cs (0.000, 0.000, 0.000)
Pt (0.000, 0.000, 0.500)
Pt (0.500, 0.000, 0.000)
Sr (0.500, 0.500, 0.500)



[10]
Material: SrSmInPb
Method: DFT, PBE
State: relaxed

Computed properties:
The formation enthalpy at 0 K comes out at -0.414 eV per atom. The value obtained for the density of states at the Fermi level is 0.63 states/eV per atom. The calculation puts the uncorrected energy at -14.5 eV per cell.

a b c (Å): 5.627 5.627 5.627
angles (deg): 60.00 60.00 60.00
Fractional coordinates of all 4 atoms:
In (0.750, 0.750, 0.750)
Sr (0.000, 0.000, 0.000)
Pb (0.250, 0.250, 0.250)
Sm (0.500, 0.500, 0.500)



[11]
Material: ThTcC
Method: DFT, PBE
State: relaxed

Computed properties:
The energy above the lowest structure with this stoichiometry is 167 meV/atom. The formation enthalpy at 0 K comes out at 0.028 eV per atom. The value obtained for the density of states at the Fermi level is 0.77 states/eV per atom. The calculation puts the uncorrected energy at -26.9 eV per cell.

a b c (Å): 4.807 3.520 3.520
angles (deg): 120.00 90.00 90.00
Fractional coordinates of all 3 atoms:
Tc (0.167, 0.333, 0.667)
Th (0.667, 0.667, 0.333)
C (0.166, 0.000, 0.000)



[12]
Material: AlPPt
Method: DFT, PBE
State: relaxed

Computed properties:
The formation enthalpy at 0 K comes out at -0.148 eV per atom. The value obtained for the density of states at the Fermi level is 0.33 states/eV per atom. The calculation puts the uncorrected energy at -31.3 eV per cell.

a b c (Å): 4.472 4.472 5.365
angles (deg): 90.00 90.00 120.00
Fractional coordinates of all 6 atoms:
Al (0.333, 0.667, 0.750)
Al (0.667, 0.333, 0.250)
P (0.000, 0.000, 0.000)
P (0.000, 0.000, 0.500)
Pt (0.667, 0.333, 0.750)
Pt (0.333, 0.667, 0.250)



[13]
Material: CuNiRu
Method: DFT, PBE
State: relaxed

Computed properties:
The energy above the lowest structure with this stoichiometry is 32 meV/atom. The formation enthalpy at 0 K comes out at 0.165 eV per atom. The value obtained for the density of states at the Fermi level is 1.29 states/eV per atom. The calculation puts the uncorrected energy at -18.7 eV per cell.

a b c (Å): 5.806 5.806 5.806
angles (deg): 154.15 154.15 36.88
Fractional coordinates of all 3 atoms:
Ru (0.673, 0.673, 0.000)
Cu (0.995, 0.995, 0.000)
Ni (0.333, 0.333, 0.000)



[14]
Material: YCu2Te3
Method: DFT, PBE
State: relaxed

Computed properties:
The value obtained for the density of states at the Fermi level is 0.49 states/eV per atom. The calculation puts the uncorrected energy at -55.2 eV per cell.

a b c (Å): 4.143 7.502 11.280
angles (deg): 102.99 90.00 90.00
Fractional coordinates of all 12 atoms:
Te (0.250, 0.059, 0.820)
Te (0.750, 0.941, 0.180)
Te (0.250, 0.390, 0.140)
Te (0.750, 0.610, 0.860)
Te (0.750, 0.739, 0.517)
Te (0.250, 0.261, 0.483)
Y (0.750, 0.239, 0.693)
Y (0.250, 0.761, 0.307)
Cu (0.250, 0.956, 0.579)
Cu (0.750, 0.576, 0.087)
Cu (0.250, 0.424, 0.913)
Cu (0.750, 0.044, 0.421)



[15]
Material: SbW2Cl
Method: DFT, PBE
State: relaxed

Computed properties:
The energy above the lowest structure with this stoichiometry is 248 meV/atom. The value obtained for the density of states at the Fermi level is 0.74 states/eV per atom. The calculation puts the uncorrected energy at -30.7 eV per cell.

a b c (Å): 3.122 3.122 8.940
angles (deg): 90.00 90.00 90.00
Fractional coordinates of all 4 atoms:
W (0.500, 0.500, 0.214)
W (0.000, 0.000, 0.045)
Sb (0.500, 0.500, 0.821)
Cl (0.000, 0.000, 0.420)



[16]
Material: La2P2F
Method: DFT, PBE
State: relaxed

Computed properties:
The value obtained for the density of states at the Fermi level is 0.23 states/eV per atom. The calculation puts the uncorrected energy at -65.4 eV per cell.

a b c (Å): 7.354 7.354 4.143
angles (deg): 90.00 90.00 90.00
Fractional coordinates of all 10 atoms:
La (0.311, 0.811, 0.000)
La (0.689, 0.189, 0.000)
La (0.189, 0.311, 0.000)
La (0.811, 0.689, 0.000)
F (0.500, 0.500, 0.000)
F (0.000, 0.000, 0.000)
P (0.894, 0.394, 0.500)
P (0.106, 0.606, 0.500)
P (0.394, 0.106, 0.500)
P (0.606, 0.894, 0.500)



[17]
Material: TaCr2Tc
Method: DFT, PBE
State: relaxed

Computed properties:
The energy above the lowest structure with this stoichiometry is 304 meV/atom. The formation enthalpy at 0 K comes out at 0.245 eV per atom. The value obtained for the density of states at the Fermi level is 1.19 states/eV per atom. The calculation puts the uncorrected energy at -40.5 eV per cell.

a b c (Å): 5.094 5.094 5.094
angles (deg): 138.31 138.31 60.44
Fractional coordinates of all 4 atoms:
Cr (0.500, 0.500, 0.000)
Cr (0.000, 0.000, 0.000)
Ta (0.250, 0.750, 0.500)
Tc (0.750, 0.250, 0.500)



[18]
Material: RePb2IN
Method: DFT, PBE
State: relaxed

Computed properties:
The value obtained for the density of states at the Fermi level is 0.39 states/eV per atom. The calculation puts the uncorrected energy at -28.6 eV per cell.

a b c (Å): 5.660 3.853 5.660
angles (deg): 90.00 90.00 90.00
Fractional coordinates of all 5 atoms:
Pb (0.500, 0.000, 0.000)
Pb (0.000, 0.000, 0.500)
N (0.000, 0.500, 0.000)
Re (0.000, 0.000, 0.000)
I (0.500, 0.500, 0.500)



[19]
Material: CdCuIr2
Method: DFT, PBE
State: relaxed

Computed properties:
The formation enthalpy at 0 K comes out at 0.179 eV per atom. The value obtained for the density of states at the Fermi level is 0.98 states/eV per atom. The calculation puts the uncorrected energy at -22.0 eV per cell.

a b c (Å): 5.394 5.394 5.394
angles (deg): 149.67 129.20 60.32
Fractional coordinates of all 4 atoms:
Ir (0.480, 0.480, 0.000)
Ir (0.020, 0.020, 0.000)
Cd (0.750, 0.250, 0.500)
Cu (0.250, 0.750, 0.500)



[20]
Material: PmSm5Y5
Method: DFT, PBE
State: relaxed

Computed properties:
The energy above the lowest structure with this stoichiometry is 0 meV/atom. The formation enthalpy at 0 K comes out at 0.142 eV per atom. The value obtained for the density of states at the Fermi level is 1.44 states/eV per atom. The calculation puts the uncorrected energy at -59.1 eV per cell.

a b c (Å): 6.959 8.616 9.607
angles (deg): 44.58 89.31 104.76
Fractional coordinates of all 11 atoms:
Y (0.000, 0.500, 0.500)
Y (0.704, 0.965, 0.678)
Y (0.352, 0.506, 0.783)
Y (0.648, 0.494, 0.217)
Y (0.296, 0.035, 0.322)
Sm (0.500, 0.000, 0.000)
Sm (0.242, 0.084, 0.646)
Sm (0.758, 0.916, 0.354)
Sm (0.143, 0.488, 0.150)
Sm (0.857, 0.512, 0.850)
Pm (0.000, 0.000, 0.000)



[21]
Material: HgOs3
Method: DFT, PBE
State: relaxed

Computed properties:
The energy above the lowest structure with this stoichiometry is 429 meV/atom. The formation enthalpy at 0 K comes out at 0.821 eV per atom. The value obtained for the density of states at the Fermi level is 0.89 states/eV per atom. The calculation puts the uncorrected energy at -61.4 eV per cell.

a b c (Å): 4.463 5.129 5.596
angles (deg): 90.00 90.00 90.00
Fractional coordinates of all 8 atoms:
Os (0.500, 0.129, 0.234)
Os (0.000, 0.311, 0.500)
Os (0.000, 0.871, 0.266)
Os (0.000, 0.871, 0.734)
Os (0.500, 0.689, 0.000)
Os (0.500, 0.129, 0.766)
Hg (0.500, 0.626, 0.500)
Hg (0.000, 0.374, 0.000)